1.
Computed, not measured: a relaxed structure of MgSnMo at the GGA-PBE level of DFT.

Calculated values
space group	F-43m (216)
E above lowest polymorph	0	meV/atom
uncorrected energy	-14.7	eV per cell

Cell lengths 4.6158, 4.6158, 4.6158 Å; angles 60.00, 60.00, 60.00 degrees
Element x y z (fractional)
1 Mg 0.2500 0.2500 0.2500
2 Sn 0.7500 0.7500 0.7500
3 Mo 0.0000 0.0000 0.0000

=====

2.
Computed, not measured: a relaxed structure of MgSnMo2 at the GGA-PBE level of DFT.

Calculated values
space group	F-43m (216)
uncorrected energy	-26.5	eV per cell

Cell lengths 4.6004, 4.6004, 4.6004 Å; angles 60.00, 60.00, 60.00 degrees
Element x y z (fractional)
1 Mo 0.7500 0.7500 0.7500
2 Mo 0.0000 0.0000 0.0000
3 Mg 0.2500 0.2500 0.2500
4 Sn 0.5000 0.5000 0.5000

=====

3.
Computed, not measured: a relaxed structure of Mg2SnMo at the GGA-PBE level of DFT.

Calculated values
space group	F-43m (216)
uncorrected energy	-16.7	eV per cell

Cell lengths 4.7445, 4.7445, 4.7445 Å; angles 60.00, 60.00, 60.00 degrees
Element x y z (fractional)
1 Mg 0.7500 0.7500 0.7500
2 Mg 0.0000 0.0000 0.0000
3 Mo 0.2500 0.2500 0.2500
4 Sn 0.5000 0.5000 0.5000

=====

4.
Computed, not measured: a relaxed structure of MgSnMoW at the GGA-PBE level of DFT.

Calculated values
space group	F-43m (216)
E above lowest polymorph	0	meV/atom
uncorrected energy	-28.2	eV per cell

Cell lengths 4.6036, 4.6036, 4.6036 Å; angles 60.00, 60.00, 60.00 degrees
Element x y z (fractional)
1 W 0.0000 0.0000 0.0000
2 Mg 0.7500 0.7500 0.7500
3 Sn 0.5000 0.5000 0.5000
4 Mo 0.2500 0.2500 0.2500

=====

5.
Computed, not measured: a relaxed structure of MgSnMoW at the GGA-PBE level of DFT.

Calculated values
space group	F-43m (216)
E above lowest polymorph	417	meV/atom
uncorrected energy	-26.6	eV per cell

Cell lengths 4.6298, 4.6298, 4.6298 Å; angles 60.00, 60.00, 60.00 degrees
Element x y z (fractional)
1 W 0.0000 0.0000 0.0000
2 Mo 0.5000 0.5000 0.5000
3 Mg 0.7500 0.7500 0.7500
4 Sn 0.2500 0.2500 0.2500

=====

6.
Computed, not measured: a relaxed structure of Sr2MgMo at the GGA-PBE level of DFT.

Calculated values
space group	F-43m (216)
uncorrected energy	-12.5	eV per cell

Cell lengths 5.4184, 5.4184, 5.4184 Å; angles 60.00, 60.00, 60.00 degrees
Element x y z (fractional)
1 Sr 0.7500 0.7500 0.7500
2 Sr 0.0000 0.0000 0.0000
3 Mo 0.2500 0.2500 0.2500
4 Mg 0.5000 0.5000 0.5000

=====

7.
Computed, not measured: a relaxed structure of MgTa2Mo at the GGA-PBE level of DFT.

Calculated values
space group	F-43m (216)
uncorrected energy	-34.8	eV per cell

Cell lengths 4.6349, 4.6349, 4.6349 Å; angles 60.00, 60.00, 60.00 degrees
Element x y z (fractional)
1 Ta 0.7500 0.7500 0.7500
2 Ta 0.0000 0.0000 0.0000
3 Mo 0.2500 0.2500 0.2500
4 Mg 0.5000 0.5000 0.5000

=====

8.
Computed, not measured: a relaxed structure of TbMgMo at the GGA-PBE level of DFT.

Calculated values
space group	F-43m (216)
E above lowest polymorph	0	meV/atom
uncorrected energy	-14.3	eV per cell

Cell lengths 4.8280, 4.8280, 4.8280 Å; angles 60.00, 60.00, 60.00 degrees
Element x y z (fractional)
1 Mg 0.2500 0.2500 0.2500
2 Mo 0.0000 0.0000 0.0000
3 Tb 0.7500 0.7500 0.7500

=====

9.
Computed, not measured: a relaxed structure of YMgTcMo at the GGA-PBE level of DFT.

Calculated values
space group	F-43m (216)
E above lowest polymorph	0	meV/atom
uncorrected energy	-28.2	eV per cell

Cell lengths 4.7017, 4.7017, 4.7017 Å; angles 60.00, 60.00, 60.00 degrees
Element x y z (fractional)
1 Mo 0.2500 0.2500 0.2500
2 Tc 0.5000 0.5000 0.5000
3 Y 0.0000 0.0000 0.0000
4 Mg 0.7500 0.7500 0.7500

=====

10.
Computed, not measured: a relaxed structure of YMgTcMo at the GGA-PBE level of DFT.

Calculated values
space group	F-43m (216)
E above lowest polymorph	353	meV/atom
uncorrected energy	-26.8	eV per cell

Cell lengths 4.7439, 4.7439, 4.7439 Å; angles 60.00, 60.00, 60.00 degrees
Element x y z (fractional)
1 Mg 0.7500 0.7500 0.7500
2 Y 0.2500 0.2500 0.2500
3 Mo 0.0000 0.0000 0.0000
4 Tc 0.5000 0.5000 0.5000

=====

11.
Computed, not measured: a relaxed structure of YMgTcMo at the GGA-PBE level of DFT.

Calculated values
space group	F-43m (216)
E above lowest polymorph	0	meV/atom
uncorrected energy	-28.2	eV per cell

Cell lengths 4.7179, 4.7179, 4.7179 Å; angles 60.00, 60.00, 60.00 degrees
Element x y z (fractional)
1 Mg 0.7500 0.7500 0.7500
2 Mo 0.5000 0.5000 0.5000
3 Tc 0.2500 0.2500 0.2500
4 Y 0.0000 0.0000 0.0000

=====

12.
Computed, not measured: a relaxed structure of MgZrTeMo at the GGA-PBE level of DFT.

Calculated values
space group	F-43m (216)
E above lowest polymorph	0	meV/atom
uncorrected energy	-23.5	eV per cell

Cell lengths 4.7635, 4.7635, 4.7635 Å; angles 60.00, 60.00, 60.00 degrees
Element x y z (fractional)
1 Mg 0.7500 0.7500 0.7500
2 Mo 0.2500 0.2500 0.2500
3 Zr 0.0000 0.0000 0.0000
4 Te 0.5000 0.5000 0.5000